First-principles (GGA-PBE) data for an optimized crystal structure of YZn8Cu4, as listed in Alexandria. Values from VASP.

Computed properties:
- Formation energy: -206 meV per atom
- SG: I4/mmm

Geometry as Quantum ESPRESSO input:
```
&SYSTEM
  ibrav = 0, nat = 13, ntyp = 3
/
ATOMIC_SPECIES
Y 88.91 Y.upf
Zn 65.41 Zn.upf
Cu 63.55 Cu.upf
CELL_PARAMETERS angstrom
-4.405 4.405 2.486
4.405 -4.405 2.486
4.405 4.405 -2.486
ATOMIC_POSITIONS angstrom
Y 0.000 0.000 0.000
Zn 3.065 0.000 0.000
Zn 5.746 0.000 0.000
Zn 4.405 2.476 0.000
Zn 0.000 3.065 0.000
Zn 2.476 4.405 0.000
Zn 1.929 0.000 2.486
Zn 0.000 5.746 0.000
Zn 0.000 1.929 2.486
Cu 2.203 2.203 -1.243
Cu 2.203 -2.203 1.243
Cu -2.203 2.203 1.243
Cu 2.203 2.203 1.243
```